1.
Material: HfAg3Ge
Method: DFT, meta-GGA SCAN
State: single point on PBEsol structure

Summary:
Symmetry = Pm-3m, No. 221

abc: 5.0779 5.0779 5.0779
angles: 90.00 90.00 90.00
With the nearest neighbours (Å) after each atom.
Element x y z (fractional)
Ag (0.0000, 0.0000, 0.5000)  2 Hf 2.54
Ag (0.0000, 0.5000, 0.0000)  2 Hf 2.54
Ag (0.5000, 0.0000, 0.0000)  2 Hf 2.54
Ge (0.5000, 0.5000, 0.5000)  12 Ag 3.59
Hf (0.0000, 0.0000, 0.0000)  6 Ag 2.54

2.
Material: Pr3PtBr3
Method: DFT, meta-GGA SCAN
State: single point on PBEsol structure

Summary:
Symmetry = I4_132, No. 214
ΔE_f (raw) = -1.733 eV per atom

abc: 10.3753 10.3753 10.3753
angles: 109.47 109.47 109.47
With the nearest neighbours (Å) after each atom.
Element x y z (fractional)
Pr (0.7620, 0.2500, 0.2380)  2 Pt 2.85, 4 Br 3.09-3.15
Pr (0.5120, 0.9880, 0.7500)  2 Pt 2.85, 4 Br 3.09-3.15
Pr (0.9880, 0.2500, 0.0120)  2 Pt 2.85, 4 Br 3.09-3.15
Pr (0.5120, 0.5241, 0.2620)  2 Pt 2.85, 4 Br 3.09-3.15
Pr (0.2500, 0.7380, 0.2620)  2 Pt 2.85, 4 Br 3.09-3.15
Pr (0.2500, 0.5120, 0.4880)  2 Pt 2.85, 4 Br 3.09-3.15
Pr (0.9759, 0.9880, 0.2380)  2 Pt 2.85, 4 Br 3.09-3.15
Pr (0.5241, 0.7620, 0.0120)  2 Pt 2.85, 4 Br 3.09-3.15
Pr (0.7620, 0.5120, 0.0241)  2 Pt 2.85, 4 Br 3.09-3.15
Pr (0.7380, 0.9759, 0.4880)  2 Pt 2.85, 4 Br 3.09-3.15
Pr (0.9880, 0.7380, 0.4759)  2 Pt 2.85, 4 Br 3.09-3.15
Pr (0.7380, 0.7620, 0.7500)  2 Pt 2.85, 4 Br 3.09-3.15
Br (0.2568, 0.0136, 0.5068)  4 Pr 3.09-3.15
Br (0.2568, 0.2432, 0.2500)  4 Pr 3.09-3.15
Br (0.4932, 0.4864, 0.7432)  4 Pr 3.09-3.15
Br (0.0068, 0.2568, 0.5136)  4 Pr 3.09-3.15
Br (0.2432, 0.4932, 0.9864)  4 Pr 3.09-3.15
Br (0.4932, 0.0068, 0.2500)  4 Pr 3.09-3.15
Br (0.0136, 0.0068, 0.7568)  4 Pr 3.09-3.15
Br (0.0068, 0.7500, 0.9932)  4 Pr 3.09-3.15
Br (0.4864, 0.2432, 0.9932)  4 Pr 3.09-3.15
Br (0.2432, 0.7500, 0.7568)  4 Pr 3.09-3.15
Br (0.7500, 0.4932, 0.5068)  4 Pr 3.09-3.15
Br (0.7500, 0.2568, 0.7432)  4 Pr 3.09-3.15
Pt (0.0000, 0.5000, 0.2500)  6 Pr 2.85
Pt (0.7500, 0.0000, 0.0000)  6 Pr 2.85
Pt (0.7500, 0.7500, 0.2500)  6 Pr 2.85
Pt (0.5000, 0.7500, 0.5000)  6 Pr 2.85

3.
Material: RbSb2TeMo
Method: DFT, meta-GGA SCAN
State: single point on PBEsol structure

Summary:
E above lowest polymorph = 1.917 eV/atom
Symmetry = P4/mmm, No. 123
ΔE_f (raw) = 2.008 eV per atom

abc: 5.7490 5.7490 5.8664
angles: 90.00 90.00 90.00
With the nearest neighbours (Å) after each atom.
Element x y z (fractional)
Sb (0.0000, 0.5000, 0.0000)  2 Rb 2.87
Sb (0.5000, 0.0000, 0.0000)  2 Rb 2.87
Mo (0.5000, 0.5000, 0.5000)  4 Te 4.07, 8 Sb 4.11
Te (0.0000, 0.0000, 0.5000)  2 Rb 2.93
Rb (0.0000, 0.0000, 0.0000)  4 Sb 2.87, 2 Te 2.93

4.
Material: Eu3Mg
Method: DFT, meta-GGA SCAN
State: single point on PBEsol structure

Summary:
E above lowest polymorph = 0.000 eV/atom
Symmetry = Imm2, No. 44

abc: 4.0376 5.7738 6.8486
angles: 114.93 107.14 90.00
With the nearest neighbours (Å) after each atom.
Element x y z (fractional)
Mg (0.0000, 0.5828, 0.0000)  8 Eu 3.38-3.52
Eu (0.5000, 0.0828, 0.0000)  4 Mg 3.52, 4 Eu 3.75
Eu (0.2691, 0.3530, 0.5383)  2 Mg 3.38, 6 Eu 3.55-3.75
Eu (0.7309, 0.8147, 0.4617)  2 Mg 3.38, 6 Eu 3.55-3.75

Number 1: total energy -168.65 eV for the cell shown. Number 2: total energy -1082.73 eV for the cell shown. Number 3: total energy -157.36 eV for the cell shown. Number 4: total energy -166.36 eV for the cell shown.